Below is crystalline AcAlCd at its relaxed geometry, with properties calculated at the GGA-PBE level.

Calculated values
Electronic total energy in eV/atom: -3.25
SG: Immm
Energy above the lowest structure with this stoichiometry in eV per atom: 0.0000
DOS(E_F) in states/eV/atom: 0.76

a = 4.8756 Å, b = 8.3862 Å, c = 8.4645 Å
α = 90.00°, β = 90.00°, γ = 90.00°
Fractional positions:
1 Ac 0.0000 0.2426 0.0000
2 Ac 0.0000 0.7574 0.0000
3 Ac 0.5000 0.2574 0.5000
4 Ac 0.5000 0.7426 0.5000
5 Al 0.0000 0.0000 0.3436
6 Al 0.0000 0.0000 0.6564
7 Al 0.5000 0.5000 0.1564
8 Al 0.5000 0.5000 0.8436
9 Cd 0.0000 0.5000 0.3229
10 Cd 0.0000 0.5000 0.6771
11 Cd 0.5000 0.0000 0.1771
12 Cd 0.5000 0.0000 0.8229



Below is crystalline AcAlCd11 at its relaxed geometry, with properties calculated at the GGA-PBE level.

Calculated values
Electronic total energy in eV/atom: -1.50
SG: C2/m
DOS(E_F) in states/eV/atom: 0.28

a = 7.7605 Å, b = 7.7605 Å, c = 7.6748 Å
α = 98.45°, β = 98.45°, γ = 134.84°
Fractional positions:
1 Ac 0.0000 0.0000 0.0000
2 Al 0.5000 0.5000 0.5000
3 Cd 0.0000 0.0000 0.5000
4 Cd 0.0000 0.5000 0.0000
5 Cd 0.0096 0.3606 0.3574
6 Cd 0.2871 0.5015 0.7818
7 Cd 0.3606 0.0096 0.3574
8 Cd 0.4985 0.7129 0.2182
9 Cd 0.5000 0.0000 0.0000
10 Cd 0.5015 0.2871 0.7818
11 Cd 0.6394 0.9904 0.6426
12 Cd 0.7129 0.4985 0.2182
13 Cd 0.9904 0.6394 0.6426



Below is crystalline Ac3Al3Cd8 at its relaxed geometry, with properties calculated at the GGA-PBE level.

Calculated values
Electronic total energy in eV/atom: -2.46
SG: Immm
DOS(E_F) in states/eV/atom: 0.55

a = 9.1066 Å, b = 9.1066 Å, c = 9.1066 Å
α = 149.05°, β = 107.63°, γ = 80.76°
Fractional positions:
1 Ac 0.0000 0.0000 0.0000
2 Ac 0.3129 0.3129 0.0000
3 Ac 0.6871 0.6871 0.0000
4 Al 0.2985 0.5000 0.7985
5 Al 0.5000 0.0000 0.5000
6 Al 0.7015 0.5000 0.2015
7 Cd 0.0248 0.6607 0.3641
8 Cd 0.1524 0.8704 0.2821
9 Cd 0.2967 0.6607 0.6359
10 Cd 0.4117 0.1296 0.2821
11 Cd 0.5883 0.8704 0.7179
12 Cd 0.7033 0.3393 0.3641
13 Cd 0.8476 0.1296 0.7179
14 Cd 0.9752 0.3393 0.6359



Below is crystalline Ac4Al3Cd at its relaxed geometry, with properties calculated at the GGA-PBE level.

Calculated values
Electronic total energy in eV/atom: -3.83
SG: Pmm2
DOS(E_F) in states/eV/atom: 1.21

a = 4.4955 Å, b = 4.8836 Å, c = 12.0636 Å
α = 90.00°, β = 90.00°, γ = 90.00°
Fractional positions:
1 Ac 0.0000 0.0000 0.0000
2 Ac 0.0000 0.5000 0.4891
3 Ac 0.5000 0.0000 0.7062
4 Ac 0.5000 0.5000 0.2106
5 Al 0.0000 0.0000 0.2887
6 Al 0.5000 0.0000 0.4148
7 Al 0.5000 0.5000 0.9235
8 Cd 0.0000 0.5000 0.7853



Below is crystalline Ac3Al2Cd4 at its relaxed geometry, with properties calculated at the GGA-PBE level.

Calculated values
Electronic total energy in eV/atom: -2.93
SG: C2/m
DOS(E_F) in states/eV/atom: 0.75

a = 6.4242 Å, b = 6.4242 Å, c = 9.5396 Å
α = 110.57°, β = 110.57°, γ = 46.00°
Fractional positions:
1 Ac 0.0000 0.0000 0.0000
2 Ac 0.3375 0.3375 0.3304
3 Ac 0.6625 0.6625 0.6696
4 Al 0.3819 0.3819 0.7156
5 Al 0.6181 0.6181 0.2844
6 Cd 0.0742 0.0742 0.4020
7 Cd 0.2891 0.2891 0.9497
8 Cd 0.7109 0.7109 0.0503
9 Cd 0.9258 0.9258 0.5980



Below is crystalline Ac5Al2Cd2 at its relaxed geometry, with properties calculated at the GGA-PBE level.

Calculated values
Electronic total energy in eV/atom: -3.53
SG: Cmce
DOS(E_F) in states/eV/atom: 0.94

a = 10.0641 Å, b = 10.0641 Å, c = 8.1998 Å
α = 90.00°, β = 90.00°, γ = 50.21°
Fractional positions:
1 Ac 0.0000 0.0000 0.0000
2 Ac 0.0517 0.6789 0.6779
3 Ac 0.1789 0.5517 0.1779
4 Ac 0.3211 0.9483 0.6779
5 Ac 0.4483 0.8211 0.1779
6 Ac 0.5000 0.5000 0.5000
7 Ac 0.5517 0.1789 0.8221
8 Ac 0.6789 0.0517 0.3221
9 Ac 0.8211 0.4483 0.8221
10 Ac 0.9483 0.3211 0.3221
11 Al 0.1134 0.8866 0.3909
12 Al 0.3866 0.6134 0.8909
13 Al 0.6134 0.3866 0.1091
14 Al 0.8866 0.1134 0.6091
15 Cd 0.2188 0.2188 0.0000
16 Cd 0.2812 0.2812 0.5000
17 Cd 0.7188 0.7188 0.5000
18 Cd 0.7812 0.7812 0.0000



Below is crystalline AcAlCd2 at its relaxed geometry, with properties calculated at the GGA-PBE level.

Calculated values
Electronic total energy in eV/atom: -2.71
SG: Amm2
Energy above the lowest structure with this stoichiometry in eV per atom: 0.0063
DOS(E_F) in states/eV/atom: 0.27

a = 7.2000 Å, b = 5.0985 Å, c = 11.4483 Å
α = 90.00°, β = 90.00°, γ = 90.00°
Fractional positions:
1 Ac 0.0000 0.0000 0.0000
2 Ac 0.0000 0.5000 0.5000
3 Ac 0.5000 0.0000 0.1987
4 Ac 0.5000 0.5000 0.6987
5 Al 0.1877 0.0000 0.7186
6 Al 0.1877 0.5000 0.2186
7 Al 0.8123 0.0000 0.7186
8 Al 0.8123 0.5000 0.2186
9 Cd 0.0000 0.0000 0.2959
10 Cd 0.0000 0.5000 0.7959
11 Cd 0.3025 0.0000 0.4853
12 Cd 0.3025 0.5000 0.9853
13 Cd 0.5000 0.0000 0.8942
14 Cd 0.5000 0.5000 0.3942
15 Cd 0.6975 0.0000 0.4853
16 Cd 0.6975 0.5000 0.9853



Below is crystalline AcAl2Cd2 at its relaxed geometry, with properties calculated at the GGA-PBE level.

Calculated values
Electronic total energy in eV/atom: -3.02
SG: I4/mmm
DOS(E_F) in states/eV/atom: 0.23

a = 4.6027 Å, b = 4.6027 Å, c = 11.5325 Å
α = 90.00°, β = 90.00°, γ = 90.00°
Fractional positions:
1 Ac 0.0000 0.0000 0.0000
2 Ac 0.5000 0.5000 0.5000
3 Al 0.0000 0.0000 0.3883
4 Al 0.0000 0.0000 0.6117
5 Al 0.5000 0.5000 0.1117
6 Al 0.5000 0.5000 0.8883
7 Cd 0.0000 0.5000 0.2500
8 Cd 0.0000 0.5000 0.7500
9 Cd 0.5000 0.0000 0.2500
10 Cd 0.5000 0.0000 0.7500



Number 1: formation energy from the elements -0.99 eV/f.u.. Number 2: formation energy from the elements -1.52 eV/f.u.. Number 3: formation energy from the elements -3.58 eV/f.u.. Number 4: formation energy from the elements -2.06 eV/f.u.. Number 5: formation energy from the elements -2.86 eV/f.u.. Number 6: formation energy from the elements -1.93 eV/f.u.. Number 7: formation energy from the elements -1.17 eV/f.u.. Number 8: formation energy from the elements -1.66 eV/f.u..